1.
# KSbP (PBE-GGA, relaxed)
# Energy relative to the lowest polymorph listed for this composition, meV per atom: 0.0
# ΔE_f (raw), eV/atom: -0.28
data_KSbP
_chemical_formula_sum 'K4 Sb4 P4'
_symmetry_space_group_name_H-M 'C 1 m 1'
_symmetry_Int_Tables_number 8
_symmetry_space_group_name_Hall 'C -2y'
_cell_length_a 13.3186
_cell_length_b 3.8194
_cell_length_c 8.0943
_cell_angle_alpha 90.00
_cell_angle_beta 107.74
_cell_angle_gamma 90.00
loop_
_atom_site_label
_atom_site_type_symbol
_atom_site_fract_x
_atom_site_fract_y
_atom_site_fract_z
K1 K 0.0000 0.0000 0.0000
K2 K 0.1705 0.5000 0.6028
Sb1 Sb 0.2698 0.0000 0.0276
Sb2 Sb 0.4125 0.5000 0.4404
P1 P 0.2284 0.5000 0.2114
P2 P 0.3928 0.0000 0.6393


2.
# Li2CoOs (PBE-GGA, relaxed)
# Energy relative to the lowest polymorph listed for this composition, meV per atom: 122.4
# Formation energy, eV per atom: 0.25
data_Li2CoOs
_chemical_formula_sum 'Li4 Co2 Os2'
_symmetry_space_group_name_H-M 'C m m 2'
_symmetry_Int_Tables_number 35
_symmetry_space_group_name_Hall 'C 2 -2'
_cell_length_a 2.7769
_cell_length_b 4.4191
_cell_length_c 9.1636
_cell_angle_alpha 90.00
_cell_angle_beta 90.00
_cell_angle_gamma 90.00
loop_
_atom_site_label
_atom_site_type_symbol
_atom_site_fract_x
_atom_site_fract_y
_atom_site_fract_z
Li1 Li 0.0000 0.0000 0.0000
Li2 Li 0.0000 0.5000 0.2908
Co1 Co 0.0000 0.5000 0.7649
Os1 Os 0.0000 0.0000 0.5359


3.
# VSn3Cl (PBE-GGA, relaxed)
# Energy relative to the lowest polymorph listed for this composition, meV per atom: 0.0
# ΔE_f (raw), eV/atom: 0.01
data_VSn3Cl
_chemical_formula_sum 'V1 Sn3 Cl1'
_symmetry_space_group_name_H-M 'P m -3 m'
_symmetry_Int_Tables_number 221
_symmetry_space_group_name_Hall '-P 4 2 3'
_cell_length_a 5.1689
_cell_length_b 5.1689
_cell_length_c 5.1689
_cell_angle_alpha 90.00
_cell_angle_beta 90.00
_cell_angle_gamma 90.00
loop_
_atom_site_label
_atom_site_type_symbol
_atom_site_fract_x
_atom_site_fract_y
_atom_site_fract_z
V1 V 0.0000 0.0000 0.0000
Sn1 Sn 0.0000 0.0000 0.5000
Cl1 Cl 0.5000 0.5000 0.5000


4.
# Cs2CoSbCl6 (PBE-GGA, relaxed)
# ΔE_f (raw), eV/atom: -1.15
data_Cs2CoSbCl6
_chemical_formula_sum 'Cs8 Co4 Sb4 Cl24'
_symmetry_space_group_name_H-M 'F m -3 m'
_symmetry_Int_Tables_number 225
_symmetry_space_group_name_Hall '-F 4 2 3'
_cell_length_a 10.4444
_cell_length_b 10.4444
_cell_length_c 10.4444
_cell_angle_alpha 90.00
_cell_angle_beta 90.00
_cell_angle_gamma 90.00
loop_
_atom_site_label
_atom_site_type_symbol
_atom_site_fract_x
_atom_site_fract_y
_atom_site_fract_z
Cs1 Cs 0.2500 0.2500 0.2500
Co1 Co 0.0000 0.0000 0.0000
Sb1 Sb 0.0000 0.0000 0.5000
Cl1 Cl 0.0000 0.0000 0.2404


Number 1: E -3.82 eV/atom, M_tot 0.000 μB per atom. Number 2: E -5.29 eV/atom, M_tot 0.484 μB per atom. Number 3: E -4.58 eV/atom, M_tot 0.000 μB per atom. Number 4: E -3.55 eV/atom, M_tot 0.200 μB per atom.